No. 1
A plane-wave DFT calculation with GGA-PBEsol was carried out for an optimized crystal structure of La3Tl.

Properties
Crystal system: cubic
Formation energy from the elements in kJ/mol of formula units: -109
Energy relative to the lowest polymorph listed for this composition in eV per atom: 0.0000
Space group: Pm-3m (221)

```
La3Tl
1.0
-1.334 -2.002 4.338
3.511 -3.466 -0.520
3.241 2.930 2.349
La Tl
3 1
direct
0.500 0.500 0.000
0.000 0.500 0.500
0.500 0.000 0.500
0.000 0.000 0.000
```


No. 2
A plane-wave DFT calculation with GGA-PBEsol was carried out for an optimized crystal structure of K2FeH4S2O10.

Properties
Crystal system: triclinic
Space group: P-1 (2)

```
K2FeH4S2O10
1.0
-3.230 0.189 -5.594
-7.253 0.047 1.105
-3.362 9.982 -1.108
O H K S Fe
20 8 4 4 2
direct
0.563 0.869 0.360
0.660 0.152 0.039
0.603 0.376 0.185
0.216 0.192 0.271
0.025 0.848 0.878
0.693 0.609 0.550
0.437 0.131 0.640
0.784 0.808 0.729
0.738 0.240 0.772
0.975 0.152 0.122
0.397 0.624 0.815
0.913 0.840 0.421
0.104 0.413 0.678
0.087 0.160 0.579
0.896 0.587 0.322
0.809 0.438 0.954
0.340 0.848 0.961
0.262 0.760 0.228
0.191 0.562 0.046
0.307 0.391 0.450
0.140 0.174 0.206
0.652 0.927 0.709
0.876 0.183 0.706
0.348 0.073 0.291
0.764 0.166 0.865
0.124 0.817 0.294
0.860 0.826 0.794
0.236 0.834 0.135
0.296 0.254 0.900
0.232 0.760 0.574
0.704 0.746 0.100
0.768 0.240 0.426
0.240 0.723 0.926
0.234 0.270 0.586
0.760 0.277 0.074
0.766 0.730 0.414
0.749 0.531 0.750
0.251 0.469 0.250
```


No. 3
A plane-wave DFT calculation with GGA-PBEsol was carried out for an optimized crystal structure of Zr2Al5Cu.

Properties
Crystal system: orthorhombic
Formation energy from the elements in kJ/mol of formula units: -388
Space group: Pbam (55)

```
Zr2Al5Cu
1.0
-0.773 -2.617 -2.989
-2.023 -3.732 3.790
-10.386 4.425 -1.187
Al Zr Cu
10 4 2
direct
0.500 0.269 0.883
0.000 0.500 0.500
0.000 0.493 0.243
0.000 0.000 0.000
0.500 0.231 0.383
0.000 0.507 0.757
0.500 0.769 0.617
0.000 0.007 0.743
0.000 0.993 0.257
0.500 0.731 0.117
0.500 0.766 0.870
0.500 0.266 0.630
0.500 0.234 0.130
0.500 0.734 0.370
0.000 0.000 0.500
0.000 0.500 0.000
```


Results for M_tot: 0.00; 8.00; 0.00 (in μB/cell, following the order of the records).
Results for calculated total energy: -4.950; -5.950; -5.875 (in eV per atom, following the order of the records).